# 1
Fe3C: optimized geometry, PBEsol.

## Properties
formation energy: 0.01 eV/atom

a b c (Å): 4.2475 4.5663 4.5663
angles (deg): 120.00 90.00 90.00
Last column: magnetic moment on the atom in μB.
Fractional positions:
Fe 0.0000 0.3197 0.0000  1.84
Fe 0.5000 0.6803 0.0000  1.84
Fe 0.5000 0.3197 0.3197  1.84
Fe 0.0000 0.0000 0.3197  1.84
Fe 0.0000 0.6803 0.6803  1.84
Fe 0.5000 0.0000 0.6803  1.84
C 0.7500 0.6667 0.3333  -0.11
C 0.2500 0.3333 0.6667  -0.11

---

# 2
Li2VO2F: optimized geometry, PBEsol.

## Properties
offset from the most stable computed form: 0.0 meV/atom

a b c (Å): 2.7761 2.7761 7.2687
angles (deg): 90.00 90.00 120.00
Fractional positions:
V 0.0000 0.0000 0.0000
Li 0.6667 0.3333 0.6594
Li 0.3333 0.6667 0.3406
O 0.6667 0.3333 0.1634
O 0.3333 0.6667 0.8366
F 0.0000 0.0000 0.5000

---

# 3
CdCoO2: optimized geometry, PBEsol.

## Properties
total energy: -5.595 eV per atom

a b c (Å): 4.7771 4.7771 5.8101
angles (deg): 114.27 114.27 90.00
Last column: magnetic moment on the atom in μB.
Fractional positions:
Co 0.7500 0.2500 0.5000  2.52
Co 0.5000 0.5000 0.0000  2.52
O 0.4284 0.8750 0.2500  0.19
O 0.8216 0.3750 0.2500  0.19
O 0.1250 0.1784 0.7500  0.19
O 0.6250 0.5716 0.7500  0.19
Cd 0.2500 0.7500 0.5000  0.02
Cd 0.0000 0.0000 0.0000  0.02

---

# 4
LiSb2Br: optimized geometry, PBEsol.

## Properties
offset from the most stable computed form: 107.1 meV/atom

a b c (Å): 3.6472 3.6472 8.8746
angles (deg): 90.00 90.00 90.00
Fractional positions:
Sb 0.0000 0.0000 0.0653
Sb 0.5000 0.5000 0.2370
Br 0.0000 0.0000 0.6067
Li 0.5000 0.5000 0.5910

---

# 5
Si2BI: optimized geometry, PBEsol.

## Properties
total energy: -4.579 eV per atom

a b c (Å): 5.9980 5.9610 5.9980
angles (deg): 59.79 90.00 120.21
Fractional positions:
I 0.7500 0.5000 0.7500
I 0.0000 0.0000 0.0000
Si 0.5066 0.7500 0.3750
Si 0.2434 0.7500 0.8750
Si 0.8750 0.2500 0.5066
Si 0.3750 0.2500 0.2434
B 0.2500 0.5000 0.2500
B 0.5000 0.0000 0.5000

---

# 6
Li4Mn2Ni3Sb3O16: optimized geometry, PBEsol.

## Properties
total energy: -6.559 eV per atom

a b c (Å): 5.9803 5.9803 9.2945
angles (deg): 88.32 88.32 60.24
Last column: magnetic moment on the atom in μB.
Fractional positions:
Ni 0.1634 0.1634 0.2184  1.44
Ni 0.3330 0.8276 0.7162  1.38
Ni 0.8276 0.3330 0.7162  1.38
Mn 0.3243 0.3243 0.4992  3.54
Mn 0.6493 0.6493 0.9812  2.54
O 0.1589 0.6675 0.6008  0.08
O 0.4753 0.4753 0.3371  -0.01
O 0.3292 0.3292 0.0906  0.07
O 0.9896 0.9896 0.3137  0.05
O 0.9940 0.9940 0.8161  0.11
O 0.6675 0.1589 0.6008  0.08
O 0.0293 0.4813 0.3396  0.10
O 0.4813 0.0293 0.3396  0.10
O 0.8246 0.8246 0.0975  0.00
O 0.1730 0.1730 0.6066  0.12
O 0.5156 0.9527 0.8574  0.07
O 0.9527 0.5156 0.8574  0.07
O 0.6660 0.6660 0.6091  0.13
O 0.3294 0.8230 0.0962  0.06
O 0.5221 0.5221 0.8507  0.18
O 0.8230 0.3294 0.0962  0.06
Sb 0.1586 0.6560 0.2064  0.00
Sb 0.6560 0.1586 0.2064  0.00
Sb 0.8273 0.8273 0.7178  0.01
Li 0.3414 0.3414 0.8696  0.00
Li 0.1063 0.1063 0.9599  0.00
Li 0.0185 0.0185 0.5050  0.00
Li 0.6635 0.6635 0.4023  0.00

---

# 7
Zn2FeTc: optimized geometry, PBEsol.

## Properties
offset from the most stable computed form: 143.2 meV/atom
formation energy: 0.12 eV/atom

a b c (Å): 2.5295 3.9343 5.2015
angles (deg): 90.00 90.00 90.00
Last column: magnetic moment on the atom in μB.
Fractional positions:
Fe 0.5000 0.5000 0.0000  2.48
Tc 0.5000 0.5000 0.5000  0.47
Zn 0.0000 0.0000 0.7567  -0.02
Zn 0.0000 0.0000 0.2433  -0.02

---

# 8
RbCaHg3: optimized geometry, PBEsol.

## Properties
formation energy: -0.04 eV/atom

a b c (Å): 5.8358 5.8358 5.8358
angles (deg): 90.00 90.00 90.00
Fractional positions:
Ca 0.0000 0.0000 0.0000
Hg 0.0000 0.5000 0.0000
Hg 0.0000 0.0000 0.5000
Hg 0.5000 0.0000 0.0000
Rb 0.5000 0.5000 0.5000